1.
Compound: Li2Tl2Pb
Source: Alexandria
Functional: PBE
Structure: relaxed

Geometry as POSCAR:
```
Li2Tl2Pb
1.0
-5.564 -5.572 1.203
3.180 -1.639 7.117
-2.217 2.555 1.579
Pb Tl Li
2 4 4
Cartesian
-1.192 -3.605 4.160
0.000 0.000 0.000
-4.707 -3.977 4.240
-2.512 -0.888 2.324
-2.089 -3.768 7.576
0.106 -0.679 5.660
-3.115 -3.792 1.763
-2.754 -5.842 5.587
0.370 -1.368 2.733
0.731 -3.418 6.558
```

Total DFT energy (no corrections) (eV per atom): -2.6083
Space group: P4/mbm

2.
Compound: HgB2Ir
Source: Alexandria
Functional: PBE
Structure: relaxed

Geometry as POSCAR:
```
HgB2Ir
1.0
5.129 0.000 0.000
0.000 5.129 0.000
2.565 2.565 4.916
B Ir Hg
4 2 2
Cartesian
3.847 4.200 3.687
1.635 3.847 1.229
3.494 1.282 1.229
6.411 6.058 3.687
2.565 2.565 0.000
2.565 5.129 2.458
0.000 0.000 0.000
5.129 2.565 2.458
```

Total DFT energy (no corrections) (eV per atom): -5.0650
Space group: I-42d

3.
Compound: Sr2BePb
Source: Alexandria
Functional: PBE
Structure: relaxed

Geometry as POSCAR:
```
Sr2BePb
1.0
6.548 -0.070 0.031
5.351 3.776 0.031
2.199 0.685 4.872
Sr Be Pb
2 1 1
Cartesian
11.738 3.656 0.141
10.887 3.391 3.544
7.460 2.324 2.266
2.961 0.922 1.511
```

Total DFT energy (no corrections) (eV per atom): -2.6912
Space group: Imm2

4.
Compound: Sm2MgSe4
Source: Alexandria
Functional: PBE
Structure: relaxed

Geometry as POSCAR:
```
Sm2MgSe4
1.0
4.245 -5.577 -3.158
-1.024 4.282 -7.895
9.900 6.405 5.532
Sm Se Mg
8 16 4
Cartesian
4.929 -0.104 -3.203
8.191 5.213 -2.318
3.271 4.448 -3.858
0.313 2.550 -7.701
5.396 2.800 -7.571
9.849 0.661 -1.662
12.807 2.559 2.181
7.724 2.309 2.051
7.491 -1.141 -2.297
11.799 4.193 -4.382
2.708 -1.175 -4.460
8.986 -0.024 1.007
12.257 1.913 -0.686
4.685 2.540 -2.402
4.030 -2.154 -1.120
9.090 7.263 -4.400
5.629 6.250 -3.223
7.171 4.322 0.227
1.321 0.916 -1.139
0.864 3.195 -4.834
5.949 0.787 -5.747
4.134 5.133 -6.528
8.435 2.569 -3.118
10.412 6.284 -1.060
3.431 2.093 -0.239
0.686 0.667 -3.958
12.434 4.442 -1.562
9.689 3.016 -5.281
```

Raw formation energy (eV per formula unit): -10.76
Space group: P-1

5.
Compound: Ho3Mg2Al
Source: Alexandria
Functional: PBE
Structure: relaxed

Geometry as POSCAR:
```
Ho3Mg2Al
1.0
-1.834 -0.273 3.144
3.154 -0.266 1.817
0.295 11.476 1.168
Ho Mg Al
3 2 1
Cartesian
0.193 7.490 0.762
0.103 3.986 0.406
0.000 0.000 0.000
0.711 1.702 2.681
0.905 9.236 3.448
0.808 5.469 3.064
```

Total DFT energy (no corrections) (eV per atom): -3.6315
Space group: P4/mmm

6.
Compound: HoScRh
Source: Alexandria
Functional: PBE
Structure: relaxed

Geometry as POSCAR:
```
HoScRh
1.0
3.622 0.000 0.000
1.811 3.137 0.000
1.811 1.046 6.405
Ho Rh Sc
1 1 1
Cartesian
3.622 2.091 2.604
1.811 1.046 4.438
3.622 2.091 6.048
```

Total DFT energy (no corrections) (eV per atom): -6.4905
Space group: R3m

7.
Compound: Ag2HgMoN
Source: Alexandria
Functional: PBE
Structure: relaxed

Geometry as POSCAR:
```
Ag2HgMoN
1.0
5.386 0.000 0.000
0.000 3.817 0.000
0.000 0.000 5.386
Hg Mo Ag N
1 1 2 1
Cartesian
2.693 1.908 2.693
0.000 0.000 0.000
2.693 0.000 0.000
0.000 0.000 2.693
0.000 1.908 0.000
```

Raw formation energy (eV per formula unit): 3.98
Space group: P4/mmm

8.
Compound: DyTe2Pd7
Source: Alexandria
Functional: PBE
Structure: relaxed

Geometry as POSCAR:
```
DyTe2Pd7
1.0
4.122 0.000 -0.793
-0.153 4.119 -0.793
0.037 0.039 11.302
Te Pd Dy
2 7 1
Cartesian
2.675 2.776 2.795
1.332 1.382 6.920
0.935 3.109 4.858
3.708 1.709 8.162
0.299 2.449 1.553
2.436 0.389 1.553
3.072 1.049 4.858
1.985 2.060 -0.793
1.570 3.769 8.162
0.000 0.000 0.000
```

Raw formation energy (eV per formula unit): -5.13
Space group: I4/mmm

9.
Compound: Ba2ScCd12Au3
Source: Alexandria
Functional: PBE
Structure: relaxed

Geometry as POSCAR:
```
Ba2ScCd12Au3
1.0
8.682 -0.729 -0.517
3.654 7.909 -0.517
3.654 2.127 7.636
Cd Ba Au Sc
12 2 3 1
Cartesian
9.364 2.219 4.998
11.943 6.952 1.896
6.627 3.857 6.160
11.943 4.087 5.934
9.453 8.367 5.934
6.627 7.088 1.604
4.047 5.220 0.668
6.554 7.046 4.998
6.538 0.941 0.668
9.364 5.451 0.442
4.047 2.356 4.706
9.436 2.262 1.604
9.590 5.582 3.959
6.401 3.726 2.643
1.827 1.064 3.818
4.341 -0.364 -0.258
1.827 3.955 -0.258
0.000 0.000 0.000
```

Total DFT energy (no corrections) (eV per atom): -1.6935
Space group: R-3m

10.
Compound: MnInGe2
Source: Alexandria
Functional: PBE
Structure: relaxed

Geometry as POSCAR:
```
MnInGe2
1.0
-2.674 1.721 -0.614
-2.374 0.143 2.198
1.777 7.177 3.840
Ge Mn In
2 1 1
Cartesian
-0.986 1.942 1.195
-2.284 7.099 4.228
0.000 0.000 0.000
-1.635 4.520 2.712
```

Total DFT energy (no corrections) (eV per atom): -5.0840
Space group: R-3m

11.
Compound: LaZrCd2
Source: Alexandria
Functional: PBE
Structure: relaxed

Geometry as POSCAR:
```
LaZrCd2
1.0
5.267 0.000 0.000
2.634 4.561 0.000
2.634 1.520 4.301
La Cd Zr
1 2 1
Cartesian
5.267 3.041 2.150
0.000 0.000 0.000
2.634 1.520 1.075
7.901 4.561 3.225
```

Total DFT energy (no corrections) (eV per atom): -3.6593
Space group: F-43m

12.
Compound: SrIBrO2
Source: Alexandria
Functional: PBE
Structure: relaxed

Geometry as POSCAR:
```
SrIBrO2
1.0
-3.590 -1.128 2.295
1.421 -4.169 0.174
2.905 1.205 5.137
O I Br Sr
2 1 1 1
Cartesian
0.710 -2.084 0.087
-1.795 -0.564 1.148
1.453 0.602 2.568
0.000 0.000 0.000
0.368 -2.046 3.803
```

Raw formation energy (eV per formula unit): -1.07
Space group: P4/mmm

13.
Compound: PmZrCoPd
Source: Alexandria
Functional: PBE
Structure: relaxed

Geometry as POSCAR:
```
PmZrCoPd
1.0
4.812 0.000 0.000
2.406 4.167 0.000
2.406 1.389 3.929
Pm Zr Co Pd
1 1 1 1
Cartesian
4.812 2.778 1.964
0.000 0.000 0.000
7.218 4.167 2.947
2.406 1.389 0.982
```

Total DFT energy (no corrections) (eV per atom): -6.6846
Space group: F-43m

14.
Compound: TbAlZnGa
Source: Alexandria
Functional: PBE
Structure: relaxed

Geometry as POSCAR:
```
TbAlZnGa
1.0
-2.113 0.259 -4.278
-1.839 -3.931 -1.998
-4.738 -0.505 -0.359
Tb Ga Zn Al
1 1 1 1
Cartesian
0.000 0.000 0.000
-2.172 -1.044 -1.659
-6.517 -3.133 -4.976
-4.345 -2.089 -3.318
```

Total DFT energy (no corrections) (eV per atom): -3.4266
Space group: F-43m

15.
Compound: SrOsF3
Source: Alexandria
Functional: PBE
Structure: relaxed

Geometry as POSCAR:
```
SrOsF3
1.0
-0.322 -3.834 -2.091
4.305 -0.631 0.493
-0.732 -2.019 3.816
F Sr Os
3 1 1
Cartesian
2.152 -0.315 0.246
-0.366 -1.010 1.908
-0.161 -1.917 -1.045
1.625 -3.242 1.109
0.000 0.000 0.000
```

Raw formation energy (eV per formula unit): -6.17
Space group: Pm-3m

16.
Compound: Sb2TeO8
Source: Alexandria
Functional: PBE
Structure: relaxed

Geometry as POSCAR:
```
Sb2TeO8
1.0
-0.794 3.775 0.336
-8.100 -1.254 -2.457
0.840 0.398 5.618
Sb O Te
2 8 1
Cartesian
-2.224 3.570 3.015
-4.509 -0.542 0.786
-2.646 -0.200 1.066
-5.453 1.234 0.968
0.029 0.101 1.300
-4.627 -0.261 -1.196
-0.844 3.638 4.534
-1.697 1.690 3.020
-3.790 2.880 4.139
-6.388 2.862 2.761
-7.280 0.022 2.708
```

Raw formation energy (eV per formula unit): -10.14
Space group: P1

17.
Compound: ZnCd2HPt
Source: Alexandria
Functional: PBE
Structure: relaxed

Geometry as POSCAR:
```
ZnCd2HPt
1.0
5.379 0.000 0.000
0.000 3.339 0.000
0.000 0.000 5.379
Cd Pt Zn H
2 1 1 1
Cartesian
2.689 0.000 0.000
0.000 0.000 2.689
0.000 0.000 0.000
2.689 1.669 2.689
0.000 1.669 0.000
```

Total DFT energy (no corrections) (eV per atom): -2.4069
Space group: P4/mmm

18.
Compound: Re2SiPt
Source: Alexandria
Functional: PBE
Structure: relaxed

Geometry as POSCAR:
```
Re2SiPt
1.0
-3.180 3.849 -1.962
-2.897 -2.693 -0.587
-1.144 0.038 5.467
Re Pt Si
4 2 2
Cartesian
-5.008 1.263 -1.509
-5.736 1.489 1.048
-2.214 -0.069 4.427
-1.485 -0.295 1.870
-4.285 -0.393 2.520
-2.936 1.587 0.397
-3.397 -0.779 -0.092
-3.824 1.973 3.009
```

Raw formation energy (eV per formula unit): -0.93
Space group: P2_1/m

19.
Compound: Ce8Tl3Ge4
Source: Alexandria
Functional: PBE
Structure: relaxed

Geometry as POSCAR:
```
Ce8Tl3Ge4
1.0
-0.375 8.492 0.891
-6.471 -4.133 -4.182
-1.300 -5.078 6.998
Ce Tl Ge
8 3 4
Cartesian
-2.721 -0.607 4.776
-1.941 1.978 1.065
-5.976 -6.893 2.182
-5.216 -4.362 -1.469
-2.554 -4.849 4.285
-2.169 6.174 1.525
-6.205 -2.697 2.642
-5.425 -0.113 -1.069
-0.837 1.707 3.944
-4.073 -0.360 1.853
-3.423 2.179 -1.645
-0.650 -2.539 3.499
-3.235 -2.067 -2.091
0.000 0.000 0.000
-0.188 4.246 0.446
```

Total DFT energy (no corrections) (eV per atom): -5.1020
Space group: C2/m

20.
Compound: Te3PAu
Source: Alexandria
Functional: PBE
Structure: relaxed

Geometry as POSCAR:
```
Te3PAu
1.0
5.212 0.000 0.000
0.000 5.212 0.000
0.000 0.000 5.212
Au P Te
1 1 3
Cartesian
2.606 2.606 2.606
0.000 0.000 0.000
0.000 2.606 0.000
0.000 0.000 2.606
2.606 0.000 0.000
```

Raw formation energy (eV per formula unit): 3.35
Space group: Pm-3m

21.
Compound: Ce2GdBi
Source: Alexandria
Functional: PBE
Structure: relaxed

Geometry as POSCAR:
```
Ce2GdBi
1.0
-1.015 1.048 -3.128
-3.226 -0.612 -1.063
-5.046 10.955 3.405
Gd Bi Ce
1 1 2
Cartesian
-4.643 5.696 -0.392
0.000 0.000 0.000
-4.088 8.106 2.139
-5.198 3.286 -2.924
```

Total DFT energy (no corrections) (eV per atom): -7.3507
Space group: R-3m

22.
Compound: Na2LiHf2Te6
Source: Alexandria
Functional: PBE
Structure: relaxed

Geometry as POSCAR:
```
Na2LiHf2Te6
1.0
7.135 -0.051 0.068
-3.571 6.178 0.068
-1.266 -2.176 7.749
Na Te Hf Li
2 6 2 1
Cartesian
5.380 0.970 0.068
-1.816 5.157 0.068
-1.869 0.999 5.602
1.674 2.878 5.662
0.624 1.073 2.223
4.167 2.951 2.283
0.506 5.081 2.283
1.793 -1.131 5.602
2.942 0.933 3.942
-0.643 3.018 3.942
-0.633 -1.088 3.874
```

Raw formation energy (eV per formula unit): -9.00
Space group: C2/m

23.
Compound: Ti9Al2In
Source: Alexandria
Functional: PBE
Structure: relaxed

Geometry as POSCAR:
```
Ti9Al2In
1.0
-3.029 -2.737 0.049
1.779 -1.912 3.138
-6.247 7.054 7.841
Ti Al In
9 2 1
Cartesian
-0.201 0.275 2.937
-6.671 4.454 6.498
-2.604 -0.138 1.393
-2.234 2.571 5.489
-4.268 4.867 8.042
-2.725 0.047 4.230
-0.625 -2.325 1.593
-4.771 2.357 6.798
-4.638 2.158 3.945
-4.147 4.682 5.205
-2.101 2.372 2.637
0.000 0.000 0.000
```

Total DFT energy (no corrections) (eV per atom): -6.9838
Space group: P4/mmm

24.
Compound: Ru
Source: Alexandria
Functional: PBE
Structure: relaxed

Geometry as POSCAR:
```
Ru
1.0
-7.494 7.936 -2.418
-8.296 -7.176 2.160
-0.004 0.767 2.533
Ru
16
Cartesian
-4.965 -0.983 0.289
-8.922 5.515 -0.304
-5.073 1.228 -0.381
-12.863 -0.220 1.426
-6.612 5.619 -0.332
-9.321 -2.425 0.718
-10.717 -0.468 0.123
-10.825 1.743 -0.547
-12.971 1.991 0.756
-6.470 3.185 -0.976
-6.873 -3.988 2.579
-7.011 -2.321 0.691
-2.824 -0.464 1.518
-2.932 1.747 0.848
-8.780 3.080 -0.949
-9.183 -4.092 2.606
```

Total DFT energy (no corrections) (eV per atom): -8.2354
Space group: I4/m